This record from Alexandria describes crystalline Dy2HfSi3Pt4 at its relaxed geometry. The functional is GGA-PBE.

a b c (Å): 4.125 4.125 10.844
angles (deg): 90.00 90.00 90.00
Space group P-4m2 (No. 115)
Unique sites:
Dy (0.000, 0.500, 0.228)
Hf (0.000, 0.000, 0.500)
Si (0.000, 0.500, 0.870)
Si (0.500, 0.500, 0.500)
Pt (0.000, 0.000, 0.000)
Pt (0.000, 0.500, 0.650)
Pt (0.500, 0.500, 0.000)

Calculated values
- Formation energy from raw total energies: -1.08 eV/atom

This record from Alexandria describes crystalline La2PrTmBi5 at its relaxed geometry. The functional is GGA-PBE.

a b c (Å): 5.400 5.400 12.149
angles (deg): 90.00 90.00 90.00
Space group P4/mmm (No. 123)
Unique sites:
La (0.000, 0.000, 0.223)
Pr (0.500, 0.500, 0.500)
Tm (0.500, 0.500, 0.000)
Bi (0.000, 0.000, 0.500)
Bi (0.000, 0.500, 0.000)
Bi (0.500, 0.500, 0.249)

Calculated values
- Energy relative to the elements: -0.314 eV per atom

This record from Alexandria describes crystalline K2TlCu2Br6 at its relaxed geometry. The functional is GGA-PBE.

a b c (Å): 13.657 7.778 8.475
angles (deg): 90.00 117.59 90.00
Space group C2/m (No. 12)
Unique sites:
K (0.225, 0.000, 0.198)
Tl (0.000, 0.000, 0.500)
Cu (0.039, 0.500, 0.211)
Br (0.076, 0.258, 0.841)
Br (0.231, 0.500, 0.379)

Calculated values
- Formation energy from raw total energies: -0.90 eV/atom

Number 1: Fermi-level density of states 0.95 states/eV/atom. Number 2: Fermi-level density of states 0.89 states/eV/atom. Number 3: Fermi-level density of states 0.64 states/eV/atom.